Record 1
First-principles (PBE-GGA) data for a geometry-optimized LaReP2 structure, as listed in Alexandria.

Cell: 7.155 7.155 7.155 Å, 153.71 151.93 38.84°
Element x y z (fractional)
1 La 0.000 0.000 0.000
2 Re 0.751 0.251 0.500
3 P 0.323 0.823 0.500
4 P 0.622 0.622 0.000

Formation enthalpy at 0 K ... -0.498 eV/atom
Energy above the lowest structure with this stoichiometry ... 1.19 eV/f.u.
Size of the total moment ... 0.00 μB per formula unit

Record 2
First-principles (PBE-GGA) data for a geometry-optimized LaZr3Cu structure, as listed in Alexandria.

Cell: 5.061 5.061 5.061 Å, 90.00 90.00 90.00°
Element x y z (fractional)
1 La 0.000 0.000 0.000
2 Zr 0.000 0.500 0.500
3 Zr 0.500 0.000 0.500
4 Zr 0.500 0.500 0.000
5 Cu 0.500 0.500 0.500

Formation enthalpy at 0 K ... 0.382 eV/atom
Energy above the lowest structure with this stoichiometry ... 0.00 eV/f.u.
Size of the total moment ... 0.00 μB per formula unit

Record 3
First-principles (PBE-GGA) data for a geometry-optimized SrSbPb2 structure, as listed in Alexandria.

Cell: 4.344 4.344 6.909 Å, 90.00 90.00 90.00°
Element x y z (fractional)
1 Sr 0.000 0.000 0.000
2 Sb 0.500 0.500 0.746
3 Pb 0.000 0.000 0.518
4 Pb 0.500 0.500 0.290

Size of the total moment ... 0.00 μB per formula unit
Formation energy from raw total energies ... -7.83 kcal/mol of atoms

Record 4
First-principles (PBE-GGA) data for a geometry-optimized Li2BiRh structure, as listed in Alexandria.

Cell: 4.490 4.490 4.490 Å, 60.00 60.00 60.00°
Element x y z (fractional)
1 Li 0.250 0.250 0.250
2 Li 0.750 0.750 0.750
3 Bi 0.000 0.000 0.000
4 Rh 0.500 0.500 0.500

Formation enthalpy at 0 K ... -0.242 eV/atom
Size of the total moment ... 0.00 μB per formula unit

Record 5
First-principles (PBE-GGA) data for a geometry-optimized Dy5Ga4Ru structure, as listed in Alexandria.

Cell: 3.526 3.526 17.862 Å, 90.00 90.00 90.00°
Element x y z (fractional)
1 Dy 0.000 0.000 0.000
2 Dy 0.000 0.000 0.204
3 Dy 0.000 0.000 0.409
4 Dy 0.000 0.000 0.591
5 Dy 0.000 0.000 0.796
6 Ga 0.500 0.500 0.102
7 Ga 0.500 0.500 0.305
8 Ga 0.500 0.500 0.695
9 Ga 0.500 0.500 0.898
10 Ru 0.500 0.500 0.500

Formation enthalpy at 0 K ... -0.560 eV/atom
Size of the total moment ... 0.00 μB per formula unit

Record 6
First-principles (PBE-GGA) data for a geometry-optimized Nd2MnGa4Cu3 structure, as listed in Alexandria.

Cell: 4.186 4.186 10.460 Å, 90.00 90.00 90.00°
Element x y z (fractional)
1 Nd 0.000 0.500 0.249
2 Nd 0.500 0.000 0.751
3 Mn 0.000 0.000 0.500
4 Ga 0.000 0.000 0.000
5 Ga 0.000 0.500 0.634
6 Ga 0.500 0.000 0.366
7 Ga 0.500 0.500 0.000
8 Cu 0.000 0.500 0.869
9 Cu 0.500 0.000 0.131
10 Cu 0.500 0.500 0.500

Formation enthalpy at 0 K ... -0.387 eV/atom
Size of the total moment ... 2.90 μB per formula unit

Record 7
First-principles (PBE-GGA) data for a geometry-optimized LiAsIr2 structure, as listed in Alexandria.

Cell: 3.039 3.039 5.875 Å, 90.00 90.00 90.00°
Element x y z (fractional)
1 Li 0.000 0.000 0.000
2 As 0.000 0.000 0.500
3 Ir 0.500 0.500 0.245
4 Ir 0.500 0.500 0.755

Formation enthalpy at 0 K ... -0.076 eV/atom
Size of the total moment ... 0.00 μB per formula unit

Record 8
First-principles (PBE-GGA) data for a geometry-optimized LiFeGe2 structure, as listed in Alexandria.

Cell: 5.275 5.275 5.275 Å, 43.32 43.32 43.32°
Element x y z (fractional)
1 Li 0.000 0.000 0.000
2 Fe 0.812 0.812 0.812
3 Ge 0.213 0.213 0.213
4 Ge 0.427 0.427 0.427

Formation enthalpy at 0 K ... -0.044 eV/atom
Energy above the lowest structure with this stoichiometry ... 0.29 eV/f.u.
Size of the total moment ... 0.00 μB per formula unit

Question: size of the total moment of number 2 (LaZr3Cu)?
Answer: 0.00 μB per formula unit

What did the first record say?
First-principles (PBE-GGA) data for a geometry-optimized LaReP2 structure, as listed in Alexandria.

Cell: 7.155 7.155 7.155 Å, 153.71 151.93 38.84°
Element x y z (fractional)
1 La 0.000 0.000 0.000
2 Re 0.751 0.251 0.500
3 P 0.323 0.823 0.500
4 P 0.622 0.622 0.000

Formation enthalpy at 0 K ... -0.498 eV/atom
Energy above the lowest structure with this stoichiometry ... 1.19 eV/f.u.
Size of the total moment ... 0.00 μB per formula unit